The following is a DFT calculation (GGA-PBE) of an optimized crystal structure of Tb5Tm4Zr. Values from VASP.

```
&SYSTEM
  ibrav = 0, nat = 10, ntyp = 3
/
ATOMIC_SPECIES
Tm 168.93 Tm.upf
Tb 158.93 Tb.upf
Zr 91.22 Zr.upf
CELL_PARAMETERS angstrom
-2.499 -2.137 -1.154
2.537 2.086 -9.311
8.764 -3.957 4.119
ATOMIC_POSITIONS crystal
Tm 0.714 0.192 0.809
Tm 0.286 0.808 0.191
Tm 0.710 0.712 0.807
Tm 0.290 0.288 0.193
Tb 0.910 0.902 0.606
Tb 0.902 0.400 0.602
Tb 0.098 0.600 0.398
Tb 0.090 0.098 0.394
Tb 0.500 0.500 0.000
Zr 0.500 0.000 0.000
```

Results
Its space-group type is P-1 (2). The calculation puts the density of states at the Fermi level at 1.34 states/eV per atom. The total energy is -0.3614 Ry per atom. The formation energy is 42 meV/atom.

***

The following is a DFT calculation (GGA-PBE) of an optimized crystal structure of Tb5Tm4Zr. Values from VASP.

```
&SYSTEM
  ibrav = 0, nat = 10, ntyp = 3
/
ATOMIC_SPECIES
Zr 91.22 Zr.upf
Tm 168.93 Tm.upf
Tb 158.93 Tb.upf
CELL_PARAMETERS angstrom
-5.477 -1.986 0.739
-0.222 -6.331 4.677
-3.524 3.341 6.198
ATOMIC_POSITIONS crystal
Zr 0.212 0.000 0.000
Tm 0.116 0.322 0.322
Tm 0.438 0.322 0.678
Tm 0.438 0.678 0.322
Tm 0.760 0.678 0.678
Tb 0.784 0.000 0.369
Tb 0.784 0.369 0.000
Tb 0.153 0.000 0.631
Tb 0.670 0.000 0.000
Tb 0.153 0.631 0.000
```

Results
Its space-group type is I4mm (107). The calculation puts the density of states at the Fermi level at 1.32 states/eV per atom. The total energy is -0.3453 Ry per atom. The formation energy is 261 meV/atom.